La3Tb6Dy2Ho | GGA-PBE | relaxed

```
data_La3Tb6Dy2Ho
_cell_length_a 6.2417
_cell_length_b 10.8174
_cell_length_c 11.9261
_cell_angle_alpha 90.00
_cell_angle_beta 100.06
_cell_angle_gamma 90.00
_symmetry_space_group_name_H-M 'C 1 2/m 1'
_symmetry_Int_Tables_number 12
loop_
_symmetry_equiv_pos_as_xyz
'x,y,z'
'-x,-y,-z'
'-x,y,-z'
'x,-y,z'
'x+1/2,y+1/2,z'
'-x+1/2,-y+1/2,-z'
'-x+1/2,y+1/2,-z'
'x+1/2,-y+1/2,z'
loop_
_atom_site_label
_atom_site_type_symbol
_atom_site_fract_x
_atom_site_fract_y
_atom_site_fract_z
_atom_site_occupancy
La1 La 0.0000 0.0000 0.0000 1
La2 La 0.0000 0.3333 0.0000 1
Tb1 Tb 0.2480 0.0000 0.7441 1
Tb2 Tb 0.2478 0.3334 0.7441 1
Dy1 Dy 0.0000 0.1666 0.5000 1
Ho1 Ho 0.0000 0.5000 0.5000 1
```

- Calculated volume: 33.04 A^3/atom
- Energy: -4.674 eV/atom
- ΔH_f (0 K): 2.03 kJ per mole of atoms